Material: BeV2OF
Method: DFT, PBE with a Hubbard U
State: relaxed

The structure in POSCAR format:
```
BeV2OF
1.0
-3.099 0.510 2.548
-1.372 -4.288 -0.810
2.298 -1.313 3.058
Be V O F
1 2 1 1
direct
0.500 0.500 0.500 Be
0.000 0.000 0.500 V
0.500 0.000 0.000 V
0.000 0.500 0.000 O
0.000 0.000 0.000 F
```

**Calculated volume**: 14.96 Å³ per atom
**DFT total energy**: -4.691 eV per atom